1.
Computed, not measured: a relaxed structure of Er2Nb2N3 at the PBE-GGA level of DFT.

Summary:
total magnetic moment	0.000	Bohr magnetons per cell
theoretical density	9.3	g/cm3
symmetry	C2/m, No. 12
E_tot	-9.036	eV per atom

Structure (POSCAR):
```
Er2Nb2N3
1.0
-0.3165 0.0083 -3.3073
-4.8083 -2.8885 0.4529
-1.1246 5.4527 1.7900
Er Nb N
2 2 3
Direct
0.6155 0.8458 0.2310
0.3845 0.1542 0.7690
0.8518 0.6494 0.7036
0.1482 0.3506 0.2964
0.0000 0.0000 0.0000
0.7507 0.2482 0.5015
0.2493 0.7518 0.4985
```

2.
Computed, not measured: a relaxed structure of Er4NbN4 at the PBE-GGA level of DFT.

Summary:
total magnetic moment	0.002	Bohr magnetons per cell
theoretical density	10.1	g/cm3
symmetry	I4/m, No. 87
E_tot	-8.272	eV per atom

Structure (POSCAR):
```
Er4NbN4
1.0
4.5435 0.0000 1.8215
2.2334 5.2433 1.0063
0.3206 -0.1005 5.7776
Er Nb N
4 1 4
Direct
0.6054 0.5902 0.1990
0.3946 0.4098 0.8010
0.1956 0.1991 0.4098
0.8044 0.8009 0.5902
0.0000 0.0000 0.0000
0.9072 0.3802 0.8053
0.0928 0.6198 0.1947
0.2873 0.8053 0.6201
0.7127 0.1947 0.3799
```

3.
Computed, not measured: a relaxed structure of ErNbN3 at the PBE-GGA level of DFT.

Summary:
total magnetic moment	1.971	Bohr magnetons per cell
theoretical density	6.2	g/cm3
symmetry	P2_1/m, No. 11
E_tot	-8.826	eV per atom

Structure (POSCAR):
```
ErNbN3
1.0
-2.5693 -1.7933 -1.9868
-2.9312 -0.9660 4.6625
-2.3114 7.1793 -3.4911
Er Nb N
2 2 6
Direct
0.2500 0.2167 0.1775
0.7500 0.7833 0.8225
0.2500 0.1543 0.6697
0.7500 0.8457 0.3303
0.2500 0.0794 0.8864
0.7500 0.9206 0.1136
0.2500 0.0198 0.3851
0.7500 0.9802 0.6149
0.2500 0.5143 0.7451
0.7500 0.4857 0.2549
```

4.
Computed, not measured: a relaxed structure of Er2NbN3 at the PBE-GGA level of DFT.

Summary:
total magnetic moment	0.000	Bohr magnetons per cell
theoretical density	10.0	g/cm3
symmetry	I4/mmm, No. 139
E_tot	-8.815	eV per atom

Structure (POSCAR):
```
Er2NbN3
1.0
3.2389 0.0005 -0.7382
-0.1672 3.2345 -0.7386
-0.0150 -0.0149 7.4124
Er Nb N
2 1 3
Direct
0.0975 0.0989 0.2005
0.7710 0.7724 0.5474
0.4342 0.4356 0.8740
0.9342 0.9358 0.8740
0.2740 0.2755 0.5536
0.5944 0.5958 0.1944
```

5.
Computed, not measured: a relaxed structure of Er5NbN6 at the PBE-GGA level of DFT.

Summary:
total magnetic moment	0.000	Bohr magnetons per cell
theoretical density	10.4	g/cm3
symmetry	C2/m, No. 12
E_tot	-8.558	eV per atom

Structure (POSCAR):
```
Er5NbN6
1.0
-3.9164 0.7920 4.2293
2.6397 2.1834 4.7149
0.4527 5.7631 0.6797
Nb N Er
1 6 5
Direct
0.0000 0.0000 0.0000
0.7607 0.0801 0.3182
0.2393 0.6017 0.3182
0.2425 0.2383 0.0000
0.7575 0.7617 0.0000
0.7607 0.3983 0.6818
0.2393 0.9199 0.6818
0.5000 0.1661 0.6678
0.0000 0.3332 0.3336
0.5000 0.5000 0.0000
0.0000 0.6668 0.6664
0.5000 0.8339 0.3322
```

6.
Computed, not measured: a relaxed structure of ErNbN2 at the PBE-GGA level of DFT.

Summary:
total magnetic moment	0.000	Bohr magnetons per cell
theoretical density	9.7	g/cm3
symmetry	Pmmn, No. 59
E_tot	-9.177	eV per atom

Structure (POSCAR):
```
ErNbN2
1.0
-3.0006 0.2154 1.2147
-1.7374 -1.4635 -4.0323
0.3978 -6.2177 2.0852
Er Nb N
2 2 4
Direct
0.0000 0.5000 0.8704
0.5000 0.0000 0.1296
0.5000 0.0000 0.6139
0.0000 0.5000 0.3861
0.0000 0.0000 0.8595
0.0000 0.0000 0.3793
0.5000 0.5000 0.6207
0.5000 0.5000 0.1405
```

7.
Computed, not measured: a relaxed structure of ErNb2N at the PBE-GGA level of DFT.

Summary:
total magnetic moment	0.004	Bohr magnetons per cell
theoretical density	8.4	g/cm3
symmetry	R-3m, No. 166
E_tot	-8.432	eV per atom

Structure (POSCAR):
```
ErNb2N
1.0
3.1978 0.0000 0.0000
1.5989 2.7694 0.0000
1.5989 0.9231 8.2426
Nb N Er
2 1 1
Direct
0.1202 0.1202 0.6394
0.8798 0.8798 0.3606
0.5000 0.5000 0.5000
0.0000 0.0000 0.0000
```

8.
Computed, not measured: a relaxed structure of ErNbN2 at the PBE-GGA level of DFT.

Summary:
total magnetic moment	0.000	Bohr magnetons per cell
theoretical density	9.7	g/cm3
symmetry	R3m, No. 160
E_tot	-9.179	eV per atom

Structure (POSCAR):
```
ErNbN2
1.0
-2.7280 1.6159 0.1888
-2.3151 -0.5405 -2.1065
-3.8168 -3.6414 2.7342
Er Nb N
1 1 2
Direct
0.6719 0.6719 0.9843
0.4969 0.4969 0.5093
0.0870 0.0870 0.7391
0.2442 0.2442 0.2673
```

9.
Computed, not measured: a relaxed structure of Er2NpNbN4 at the PBE-GGA level of DFT.

Summary:
total magnetic moment	2.501	Bohr magnetons per cell
theoretical density	11.4	g/cm3
symmetry	P2/m, No. 10
E_tot	-9.601	eV per atom

Structure (POSCAR):
```
Er2NpNbN4
1.0
3.3314 0.0000 0.0000
0.0000 5.7396 0.1168
0.0000 -1.9899 5.4638
Er Np Nb N
2 1 1 4
Direct
0.5000 0.0000 0.5000
0.0000 0.5000 0.5000
0.5000 0.5000 0.0000
0.0000 0.0000 0.0000
0.5000 0.2432 0.2341
0.5000 0.7568 0.7659
0.0000 0.2487 0.7594
0.0000 0.7513 0.2406
```

10.
Computed, not measured: a relaxed structure of ErNp2NbN4 at the PBE-GGA level of DFT.

Summary:
total magnetic moment	5.828	Bohr magnetons per cell
theoretical density	12.3	g/cm3
symmetry	P2/m, No. 10
E_tot	-10.494	eV per atom

Structure (POSCAR):
```
ErNp2NbN4
1.0
3.3535 0.0000 0.0000
0.0000 5.8150 0.1018
0.0000 -2.0303 5.4216
Er Np Nb N
1 2 1 4
Direct
0.5000 0.5000 0.0000
0.5000 0.0000 0.5000
0.0000 0.5000 0.5000
0.0000 0.0000 0.0000
0.5000 0.2367 0.2395
0.5000 0.7633 0.7605
0.0000 0.2399 0.7526
0.0000 0.7601 0.2474
```

11.
Computed, not measured: a relaxed structure of ErPaNbN3 at the PBE-GGA level of DFT.

Summary:
total magnetic moment	0.000	Bohr magnetons per cell
theoretical density	9.4	g/cm3
symmetry	P2_1/m, No. 11
E_tot	-9.399	eV per atom

Structure (POSCAR):
```
ErPaNbN3
1.0
3.2490 0.0000 0.0000
0.0000 7.0761 0.5536
0.0000 -1.2475 8.0793
Er Pa Nb N
2 2 2 6
Direct
0.2500 0.6323 0.1460
0.7500 0.3677 0.8540
0.2500 0.1467 0.1734
0.7500 0.8533 0.8266
0.2500 0.1330 0.5691
0.7500 0.8670 0.4309
0.7500 0.8805 0.1349
0.2500 0.1195 0.8651
0.2500 0.8316 0.6028
0.7500 0.1684 0.3972
0.7500 0.3830 0.1265
0.2500 0.6170 0.8735
```

12.
Computed, not measured: a relaxed structure of Er2PaNbN4 at the PBE-GGA level of DFT.

Summary:
total magnetic moment	0.001	Bohr magnetons per cell
theoretical density	11.0	g/cm3
symmetry	P2/m, No. 10
E_tot	-9.284	eV per atom

Structure (POSCAR):
```
Er2PaNbN4
1.0
-1.2919 0.3489 3.0889
-2.5481 -5.1610 -0.4828
5.3597 -0.7131 2.3222
Er Pa Nb N
2 1 1 4
Direct
0.5000 0.0000 0.5000
0.0000 0.5000 0.5000
0.5000 0.5000 0.0000
0.0000 0.0000 0.0000
0.5000 0.2438 0.2383
0.5000 0.7562 0.7617
0.0000 0.2486 0.7543
0.0000 0.7514 0.2457
```

Copy entry 7 word for word.
Computed, not measured: a relaxed structure of ErNb2N at the PBE-GGA level of DFT.

Summary:
total magnetic moment	0.004	Bohr magnetons per cell
theoretical density	8.4	g/cm3
symmetry	R-3m, No. 166
E_tot	-8.432	eV per atom

Structure (POSCAR):
```
ErNb2N
1.0
3.1978 0.0000 0.0000
1.5989 2.7694 0.0000
1.5989 0.9231 8.2426
Nb N Er
2 1 1
Direct
0.1202 0.1202 0.6394
0.8798 0.8798 0.3606
0.5000 0.5000 0.5000
0.0000 0.0000 0.0000
```

> Among the records above, which one has the highest total magnetic moment?

ErNp2NbN4